An optimized crystal structure of TaIn2GeB. Source: Alexandria, functional PBE.

CIF file:
```
data_TaIn2GeB
_chemical_formula_sum 'Ta1 In2 Ge1 B1'
_symmetry_space_group_name_H-M 'P 4/m m m'
_symmetry_Int_Tables_number 123
_symmetry_space_group_name_Hall '-P 4 2'
_cell_length_a 4.688
_cell_length_b 4.688
_cell_length_c 4.426
_cell_angle_alpha 90.00
_cell_angle_beta 90.00
_cell_angle_gamma 90.00
loop_
_atom_site_label
_atom_site_type_symbol
_atom_site_fract_x
_atom_site_fract_y
_atom_site_fract_z
_atom_site_occupancy
Ta1 Ta 0.000 0.000 0.000 1
In1 In 0.000 0.500 0.500 1
Ge1 Ge 0.500 0.500 0.000 1
B1 B 0.000 0.000 0.500 1
```

Computed properties:
ΔH_f (0 K) (eV per atom): 0.663

***

An optimized crystal structure of Er4ZnGa. Source: Alexandria, functional PBE.

CIF file:
```
data_Er4ZnGa
_chemical_formula_sum 'Er4 Zn1 Ga1'
_symmetry_space_group_name_H-M 'P 4/m m m'
_symmetry_Int_Tables_number 123
_symmetry_space_group_name_Hall '-P 4 2'
_cell_length_a 4.891
_cell_length_b 4.891
_cell_length_c 6.992
_cell_angle_alpha 90.00
_cell_angle_beta 90.00
_cell_angle_gamma 90.00
loop_
_atom_site_label
_atom_site_type_symbol
_atom_site_fract_x
_atom_site_fract_y
_atom_site_fract_z
_atom_site_occupancy
Er1 Er 0.000 0.500 0.246 1
Zn1 Zn 0.000 0.000 0.000 1
Ga1 Ga 0.500 0.500 0.500 1
```

Computed properties:
ΔH_f (0 K) (eV per atom): -0.112

***

An optimized crystal structure of BaSr2RuCl. Source: Alexandria, functional PBE.

CIF file:
```
data_BaSr2RuCl
_chemical_formula_sum 'Ba1 Sr2 Ru1 Cl1'
_symmetry_space_group_name_H-M 'P 4/m m m'
_symmetry_Int_Tables_number 123
_symmetry_space_group_name_Hall '-P 4 2'
_cell_length_a 5.841
_cell_length_b 5.841
_cell_length_c 5.826
_cell_angle_alpha 90.00
_cell_angle_beta 90.00
_cell_angle_gamma 90.00
loop_
_atom_site_label
_atom_site_type_symbol
_atom_site_fract_x
_atom_site_fract_y
_atom_site_fract_z
_atom_site_occupancy
Ba1 Ba 0.000 0.000 0.000 1
Sr1 Sr 0.000 0.500 0.500 1
Ru1 Ru 0.000 0.000 0.500 1
Cl1 Cl 0.500 0.500 0.000 1
```

Computed properties:
Formation energy (no corrections) (kJ per mole of atoms): -23.7

***

An optimized crystal structure of LiFeNi. Source: Alexandria, functional PBE.

CIF file:
```
data_LiFeNi
_chemical_formula_sum 'Li4 Fe4 Ni4'
_symmetry_space_group_name_H-M 'F -4 3 m'
_symmetry_Int_Tables_number 216
_symmetry_space_group_name_Hall 'F -4 2 3'
_cell_length_a 5.520
_cell_length_b 5.520
_cell_length_c 5.520
_cell_angle_alpha 90.00
_cell_angle_beta 90.00
_cell_angle_gamma 90.00
loop_
_atom_site_label
_atom_site_type_symbol
_atom_site_fract_x
_atom_site_fract_y
_atom_site_fract_z
_atom_site_occupancy
Li1 Li 0.000 0.000 0.000 1
Fe1 Fe 0.000 0.000 0.500 1
Ni1 Ni 0.250 0.250 0.750 1
```

Computed properties:
Excess energy over the best structure of this formula in the dataset (kJ/mol of atoms): 45.9
ΔH_f (0 K) (eV per atom): 0.504

***

An optimized crystal structure of AgPSe2. Source: Alexandria, functional PBE.

CIF file:
```
data_AgPSe2
_chemical_formula_sum 'Ag1 P1 Se2'
_symmetry_space_group_name_H-M 'P 4 m m'
_symmetry_Int_Tables_number 99
_symmetry_space_group_name_Hall 'P 4 -2'
_cell_length_a 3.758
_cell_length_b 3.758
_cell_length_c 6.179
_cell_angle_alpha 90.00
_cell_angle_beta 90.00
_cell_angle_gamma 90.00
loop_
_atom_site_label
_atom_site_type_symbol
_atom_site_fract_x
_atom_site_fract_y
_atom_site_fract_z
_atom_site_occupancy
Ag1 Ag 0.000 0.000 0.000 1
P1 P 0.500 0.500 0.501 1
Se1 Se 0.000 0.000 0.572 1
Se2 Se 0.500 0.500 0.137 1
```

Computed properties:
Formation energy (no corrections) (kJ per mole of atoms): 1.1

***

An optimized crystal structure of Zr2Nb2Ni15. Source: Alexandria, functional PBE.

CIF file:
```
data_Zr2Nb2Ni15
_chemical_formula_sum 'Zr6 Nb6 Ni45'
_symmetry_space_group_name_H-M 'R -3 m'
_symmetry_Int_Tables_number 166
_symmetry_space_group_name_Hall '-R 3 2"'
_cell_length_a 8.2650
_cell_length_b 8.2650
_cell_length_c 12.3374
_cell_angle_alpha 90.00
_cell_angle_beta 90.00
_cell_angle_gamma 120.00
loop_
_atom_site_label
_atom_site_type_symbol
_atom_site_fract_x
_atom_site_fract_y
_atom_site_fract_z
_atom_site_occupancy
Zr1 Zr 0.0000 0.0000 0.1496 1
Nb1 Nb 0.0000 0.0000 0.3968 1
Ni1 Ni 0.0000 0.3114 0.5000 1
Ni2 Ni 0.0000 0.5000 0.0000 1
Ni3 Ni 0.0081 0.5040 0.6574 1
```

Computed properties:
ΔH_f (0 K) (eV per atom): -0.226

***

An optimized crystal structure of V4Re2Mo. Source: Alexandria, functional PBE.

CIF file:
```
data_V4Re2Mo
_chemical_formula_sum 'V8 Re4 Mo2'
_symmetry_space_group_name_H-M 'I 4/m m m'
_symmetry_Int_Tables_number 139
_symmetry_space_group_name_Hall '-I 4 2'
_cell_length_a 4.433
_cell_length_b 4.433
_cell_length_c 12.503
_cell_angle_alpha 90.00
_cell_angle_beta 90.00
_cell_angle_gamma 90.00
loop_
_atom_site_label
_atom_site_type_symbol
_atom_site_fract_x
_atom_site_fract_y
_atom_site_fract_z
_atom_site_occupancy
V1 V 0.000 0.000 0.199 1
V2 V 0.000 0.500 0.000 1
Re1 Re 0.000 0.000 0.383 1
Mo1 Mo 0.000 0.000 0.000 1
```

Computed properties:
Excess energy over the best structure of this formula in the dataset (kJ/mol of atoms): 107.4
ΔH_f (0 K) (eV per atom): 1.224

***

An optimized crystal structure of MnZnPt2. Source: Alexandria, functional PBE.

CIF file:
```
data_MnZnPt2
_chemical_formula_sum 'Mn2 Zn2 Pt4'
_symmetry_space_group_name_H-M 'C m m m'
_symmetry_Int_Tables_number 65
_symmetry_space_group_name_Hall '-C 2 2'
_cell_length_a 5.733
_cell_length_b 7.133
_cell_length_c 2.896
_cell_angle_alpha 90.00
_cell_angle_beta 90.00
_cell_angle_gamma 90.00
loop_
_atom_site_label
_atom_site_type_symbol
_atom_site_fract_x
_atom_site_fract_y
_atom_site_fract_z
_atom_site_occupancy
Mn1 Mn 0.000 0.000 0.000 1
Zn1 Zn 0.000 0.500 0.000 1
Pt1 Pt 0.250 0.250 0.500 1
```

Computed properties:
ΔH_f (0 K) (eV per atom): -0.465

***

Number 1: D(E_F) 2.911 states/eV per cell, M_tot 0.01 Bohr magnetons per cell. Number 2: D(E_F) 7.420 states/eV per cell, M_tot 0.00 Bohr magnetons per cell. Number 3: D(E_F) 4.469 states/eV per cell, M_tot 0.00 Bohr magnetons per cell. Number 4: D(E_F) 18.068 states/eV per cell, M_tot 13.41 Bohr magnetons per cell. Number 5: D(E_F) 0.757 states/eV per cell, M_tot 0.00 Bohr magnetons per cell. Number 6: D(E_F) 77.871 states/eV per cell, M_tot 0.00 Bohr magnetons per cell. Number 7: D(E_F) 16.225 states/eV per cell, M_tot 0.00 Bohr magnetons per cell. Number 8: D(E_F) 2.986 states/eV per cell, M_tot 8.64 Bohr magnetons per cell.